{
  "formula": "SbMoF3",
  "functional": "PBE+U",
  "state": "optimized geometry",
  "cell": [[4.5994, 0.0000, 0.0000], [0.0000, 4.5994, 0.0000], [0.0000, 0.0000, 4.5994]],
  "species": ["Sb", "Mo", "F", "F", "F"],
  "fractional_positions": [[0.0000, 0.0000, 0.0000], [0.5000, 0.5000, 0.5000], [0.0000, 0.0000, 0.5000], [0.0000, 0.5000, 0.0000], [0.5000, 0.0000, 0.0000]],
  "magnetic_moment_mub_per_fu": 5.765,
  "final_energy_ev_per_atom": -4.39
}